KTlIn after structural relaxation, computed with PBE-GGA.

Properties
The uncorrected energy is -0.08073 Ha/atom. The distance to the lowest polymorph of the same formula comes out at 0.000 eV/atom. The value obtained for the energy relative to the elements is -129 meV/atom.

abc: 12.548 5.201 8.681
angles: 90.00 133.46 90.00
Space group C2/m (No. 12)
Asymmetric unit:
K 0.064 0.000 0.320 (multiplicity 4)
Tl 0.166 0.500 0.737 (multiplicity 4)
In 0.155 0.500 0.089 (multiplicity 4)